No. 1
{"formula": "LiNpBiO6", "functional": "PBE-GGA", "state": "relaxed", "lattice_angstrom": [[5.735, 0.000, 0.000], [-2.867, 4.967, 0.000], [0.000, 0.000, 9.261]], "species": ["Np", "O", "Bi", "O", "O", "Li", "O", "O", "O", "Li", "O", "O", "O", "Np", "O", "O", "O", "Bi"], "frac_coords": [[0.667, 0.333, 0.250], [0.038, 0.370, 0.631], [0.667, 0.333, 0.750], [0.630, 0.962, 0.869], [0.667, 0.630, 0.131], [0.000, 0.000, 0.000], [0.333, 0.370, 0.869], [0.370, 0.038, 0.131], [0.333, 0.962, 0.631], [0.000, 0.000, 0.500], [0.038, 0.667, 0.869], [0.962, 0.333, 0.131], [0.667, 0.038, 0.369], [0.333, 0.667, 0.750], [0.370, 0.333, 0.369], [0.630, 0.667, 0.631], [0.962, 0.630, 0.369], [0.333, 0.667, 0.250]], "formation_energy_uncorrected_mev_per_atom": -1772, "space_group": "P-31c, No. 163", "total_energy_ev_per_atom": -7.16}


No. 2
{"formula": "Li2NpBiO8", "functional": "PBE-GGA", "state": "relaxed", "lattice_angstrom": [[5.979, 0.833, 0.000], [-1.905, 5.728, 0.000], [-2.037, -3.281, 4.640]], "species": ["O", "Bi", "Li", "O", "Np", "O", "O", "O", "O", "O", "O", "Li"], "frac_coords": [[0.989, 0.685, 0.697], [0.250, 0.750, 0.500], [0.500, 0.500, 0.000], [0.989, 0.292, 0.303], [0.000, 0.000, 0.000], [0.315, 0.011, 0.303], [0.831, 0.718, 0.113], [0.605, 0.718, 0.887], [0.708, 0.011, 0.697], [0.282, 0.169, 0.887], [0.282, 0.395, 0.113], [0.750, 0.250, 0.500]], "formation_energy_uncorrected_mev_per_atom": -1497, "space_group": "I-4m2, No. 119", "total_energy_ev_per_atom": -6.52}


No. 3
{"formula": "LiNpBiO5", "functional": "PBE-GGA", "state": "relaxed", "lattice_angstrom": [[5.903, -0.214, 0.057], [-1.928, 5.584, 0.057], [-1.558, -2.105, 7.097]], "species": ["O", "O", "O", "Bi", "Np", "O", "O", "Bi", "O", "Np", "Li", "O", "O", "O", "O", "Li"], "frac_coords": [[0.294, 0.956, 0.632], [0.728, 0.612, 0.437], [0.099, 0.901, 0.250], [0.613, 0.387, 0.750], [0.000, 0.000, 0.500], [0.706, 0.044, 0.368], [0.272, 0.388, 0.563], [0.387, 0.613, 0.250], [0.044, 0.706, 0.868], [0.000, 0.000, 0.000], [0.697, 0.303, 0.250], [0.612, 0.728, 0.937], [0.388, 0.272, 0.063], [0.901, 0.099, 0.750], [0.956, 0.294, 0.132], [0.303, 0.697, 0.750]], "formation_energy_uncorrected_mev_per_atom": -2140, "space_group": "C2/c, No. 15", "total_energy_ev_per_atom": -7.58}


No. 4
{"formula": "LiNpBi2S6", "functional": "PBE-GGA", "state": "relaxed", "lattice_angstrom": [[-1.367, 5.638, 3.765], [-4.205, 4.890, -2.497], [-6.647, 0.672, 2.931]], "species": ["Bi", "S", "S", "S", "Bi", "S", "S", "Np", "Li", "S"], "frac_coords": [[0.014, 0.014, 0.958], [0.588, 0.198, 0.256], [0.959, 0.588, 0.256], [0.103, 0.445, 0.756], [0.519, 0.519, 0.443], [0.696, 0.103, 0.756], [0.198, 0.959, 0.256], [0.325, 0.325, 0.025], [0.816, 0.816, 0.553], [0.445, 0.696, 0.756]], "formation_energy_uncorrected_mev_per_atom": -726, "space_group": "R3, No. 146", "total_energy_ev_per_atom": -5.46}


No. 5
{"formula": "Li2NpBiS4", "functional": "PBE-GGA", "state": "relaxed", "lattice_angstrom": [[3.984, 0.000, 0.000], [0.000, 6.911, 0.101], [0.000, -2.423, 6.193]], "species": ["Li", "S", "Np", "S", "S", "Li", "S", "Bi"], "frac_coords": [[0.500, 0.000, 0.500], [0.500, 0.260, 0.262], [0.500, 0.500, 0.000], [0.500, 0.740, 0.738], [0.000, 0.745, 0.254], [0.000, 0.500, 0.500], [0.000, 0.255, 0.746], [0.000, 0.000, 0.000]], "formation_energy_uncorrected_mev_per_atom": -1026, "space_group": "P2/m, No. 10", "total_energy_ev_per_atom": -5.67}


No. 6
{"formula": "Li3NpBi2S6", "functional": "PBE-GGA", "state": "relaxed", "lattice_angstrom": [[-1.496, 5.116, 4.404], [2.114, -6.128, 2.404], [5.752, 2.293, -2.511]], "species": ["Li", "S", "Bi", "S", "S", "Li", "Li", "S", "Np", "Bi", "S", "S"], "frac_coords": [[0.177, 0.823, 0.500], [0.586, 0.913, 0.740], [0.666, 0.334, 0.000], [0.758, 0.758, 0.259], [0.087, 0.414, 0.260], [0.500, 0.500, 0.500], [0.823, 0.177, 0.500], [0.242, 0.242, 0.741], [0.000, 0.000, 0.000], [0.334, 0.666, 0.000], [0.913, 0.586, 0.740], [0.414, 0.087, 0.260]], "formation_energy_uncorrected_mev_per_atom": -926, "space_group": "C2/m, No. 12", "total_energy_ev_per_atom": -5.19}


No. 7
{"formula": "LiNpBi2S5", "functional": "PBE-GGA", "state": "relaxed", "lattice_angstrom": [[-3.656, -1.488, -0.938], [5.205, -3.669, -5.692], [2.018, -10.312, 8.493]], "species": ["Bi", "S", "S", "S", "Np", "Bi", "Np", "S", "S", "S", "S", "S", "Bi", "Li", "Li", "S", "S", "Bi"], "frac_coords": [[0.144, 0.288, 0.264], [0.608, 0.216, 0.528], [0.482, 0.964, 0.777], [0.932, 0.865, 0.549], [0.228, 0.457, 0.030], [0.933, 0.867, 0.156], [0.772, 0.543, 0.530], [0.260, 0.520, 0.670], [0.518, 0.036, 0.277], [0.740, 0.480, 0.170], [0.726, 0.452, 0.898], [0.274, 0.548, 0.398], [0.856, 0.712, 0.764], [0.533, 0.067, 0.951], [0.467, 0.933, 0.451], [0.068, 0.135, 0.049], [0.392, 0.784, 0.028], [0.067, 0.133, 0.656]], "formation_energy_uncorrected_mev_per_atom": -727, "space_group": "Cmc2_1, No. 36", "total_energy_ev_per_atom": -5.53}


No. 8
{"formula": "LiNpSnBi", "functional": "PBE-GGA", "state": "relaxed", "lattice_angstrom": [[5.271, 0.000, 0.000], [2.636, 4.565, 0.000], [2.636, 1.522, 4.304]], "species": ["Bi", "Np", "Sn", "Li"], "frac_coords": [[0.750, 0.750, 0.750], [0.000, 0.000, 0.000], [0.250, 0.250, 0.250], [0.500, 0.500, 0.500]], "ef_ev_per_fu": 0.0, "space_group": "F-43m, No. 216", "total_energy_ev_per_atom": -5.69}


No. 9
{"formula": "Li2NpBiTe4", "functional": "PBE-GGA", "state": "relaxed", "lattice_angstrom": [[4.427, 0.000, 0.000], [0.000, 7.645, 0.110], [0.000, -2.686, 7.029]], "species": ["Li", "Li", "Bi", "Te", "Te", "Np", "Te", "Te"], "frac_coords": [[0.000, 0.500, 0.500], [0.500, 0.000, 0.500], [0.000, 0.000, 0.000], [0.500, 0.256, 0.264], [0.000, 0.751, 0.260], [0.500, 0.500, 0.000], [0.000, 0.249, 0.740], [0.500, 0.744, 0.736]], "formation_energy_uncorrected_mev_per_atom": -638, "space_group": "P2/m, No. 10", "total_energy_ev_per_atom": -4.79}


No. 10
{"formula": "Li2BiO3", "functional": "PBE-GGA", "state": "relaxed", "lattice_angstrom": [[-2.732, -0.577, 1.754], [2.307, -2.486, 2.774], [1.134, 5.414, 0.449]], "species": ["O", "Bi", "Li", "O", "O", "Li"], "frac_coords": [[0.164, 0.664, 0.829], [0.500, 0.500, 0.500], [0.824, 0.824, 0.149], [0.836, 0.336, 0.171], [0.500, 0.000, 0.500], [0.176, 0.176, 0.851]], "formation_energy_uncorrected_mev_per_atom": -1479, "polymorph_energy_mev_per_atom": 22, "space_group": "Immm, No. 71", "total_energy_ev_per_atom": -5.24}


No. 11
{"formula": "Li2BiO", "functional": "PBE-GGA", "state": "relaxed", "lattice_angstrom": [[-0.898, 0.865, 2.989], [-3.078, 0.815, 0.594], [-2.935, -6.693, 2.809]], "species": ["Bi", "Li", "Li", "O"], "frac_coords": [[0.500, 0.500, 0.500], [0.303, 0.303, 0.090], [0.697, 0.697, 0.910], [0.000, 0.000, 0.000]], "formation_energy_uncorrected_mev_per_atom": -1102, "polymorph_energy_mev_per_atom": 0, "space_group": "R-3m, No. 166", "total_energy_ev_per_atom": -4.27}


No. 12
{"formula": "Li2BiO3", "functional": "PBE-GGA", "state": "relaxed", "lattice_angstrom": [[-4.420, -1.208, -2.938], [0.844, 0.240, 5.372], [-0.907, 3.335, -0.007]], "species": ["Bi", "O", "Li", "Li", "O", "O"], "frac_coords": [[0.000, 0.000, 0.000], [0.500, 0.500, 0.000], [0.344, 0.656, 0.500], [0.656, 0.344, 0.500], [0.852, 0.148, 0.500], [0.148, 0.852, 0.500]], "formation_energy_uncorrected_mev_per_atom": -1501, "polymorph_energy_mev_per_atom": 0, "space_group": "Cmmm, No. 65", "total_energy_ev_per_atom": -5.26}